# 1
A plane-wave DFT calculation with PBE was carried out for a relaxed CaTlHg2 crystal.

Unit cell a=4.868 b=4.868 c=4.508 alpha=90.00 beta=90.00 gamma=90.00
Fractional coordinates of all 4 atoms:
Ca 0.000 0.000 0.000
Tl 0.500 0.500 0.000
Hg 0.000 0.500 0.500
Hg 0.500 0.000 0.500

Output
Total energy: -1.566 eV/atom
Total magnetization: 0.00 μB per cell
Formation enthalpy at 0 K: -0.3227 eV per atom
Density of states at the Fermi level: 2.5 states/eV/f.u.

# 2
A plane-wave DFT calculation with PBE was carried out for a relaxed Ca3Tl2Hg crystal.

Unit cell a=5.452 b=5.452 c=13.348 alpha=90.00 beta=90.00 gamma=120.00
Fractional coordinates of all 12 atoms:
Ca 0.000 0.000 0.247
Ca 0.000 0.000 0.753
Ca 0.333 0.667 0.413
Ca 0.333 0.667 0.917
Ca 0.667 0.333 0.083
Ca 0.667 0.333 0.587
Tl 0.000 0.000 0.000
Tl 0.000 0.000 0.500
Tl 0.333 0.667 0.666
Tl 0.667 0.333 0.334
Hg 0.333 0.667 0.164
Hg 0.667 0.333 0.836

Output
Total energy: -2.323 eV/atom
Total magnetization: 0.00 μB per cell
Formation enthalpy at 0 K: -0.4836 eV per atom
Density of states at the Fermi level: 3.3 states/eV/f.u.

# 3
A plane-wave DFT calculation with PBE was carried out for a relaxed Ca4Tl5Hg crystal.

Unit cell a=8.678 b=8.678 c=6.742 alpha=105.62 beta=105.62 gamma=36.51
Fractional coordinates of all 10 atoms:
Ca 0.092 0.092 0.376
Ca 0.307 0.307 0.206
Ca 0.693 0.693 0.794
Ca 0.908 0.908 0.624
Tl 0.107 0.107 0.898
Tl 0.295 0.295 0.693
Tl 0.500 0.500 0.000
Tl 0.705 0.705 0.307
Tl 0.893 0.893 0.102
Hg 0.500 0.500 0.500

Output
Total energy: -2.379 eV/atom
Total magnetization: 0.00 μB per cell
Formation enthalpy at 0 K: -0.3649 eV per atom
Density of states at the Fermi level: 5.0 states/eV/f.u.

# 4
A plane-wave DFT calculation with PBE was carried out for a relaxed Ca2Tl2Hg crystal.

Unit cell a=9.447 b=9.447 c=9.447 alpha=153.96 beta=153.96 gamma=37.16
Fractional coordinates of all 5 atoms:
Ca 0.097 0.097 0.000
Ca 0.903 0.903 0.000
Tl 0.250 0.750 0.500
Tl 0.750 0.250 0.500
Hg 0.500 0.500 0.000

Output
Energy above the most stable polymorph in this dataset: 0.202 eV per atom
Total energy: -1.973 eV/atom
Total magnetization: 0.00 μB per cell
Formation enthalpy at 0 K: -0.1656 eV per atom
Density of states at the Fermi level: 4.6 states/eV/f.u.

# 5
A plane-wave DFT calculation with PBE was carried out for a relaxed CaTl4Hg12 crystal.

Unit cell a=8.618 b=8.618 c=8.618 alpha=109.47 beta=109.47 gamma=109.47
Fractional coordinates of all 17 atoms:
Ca 0.000 0.000 0.000
Tl 0.000 0.000 0.500
Tl 0.000 0.500 0.000
Tl 0.500 0.000 0.000
Tl 0.500 0.500 0.500
Hg 0.000 0.307 0.307
Hg 0.000 0.693 0.693
Hg 0.250 0.500 0.750
Hg 0.250 0.750 0.500
Hg 0.307 0.000 0.307
Hg 0.307 0.307 0.000
Hg 0.500 0.250 0.750
Hg 0.500 0.750 0.250
Hg 0.693 0.000 0.693
Hg 0.693 0.693 0.000
Hg 0.750 0.250 0.500
Hg 0.750 0.500 0.250

Output
Total energy: -0.946 eV/atom
Total magnetization: 0.00 μB per cell
Formation enthalpy at 0 K: -0.0580 eV per atom
Density of states at the Fermi level: 7.8 states/eV/f.u.

# 6
A plane-wave DFT calculation with PBE was carried out for a relaxed Ca2Tl2Hg crystal.

Unit cell a=6.322 b=6.322 c=6.322 alpha=122.02 beta=122.02 gamma=86.54
Fractional coordinates of all 5 atoms:
Ca 0.250 0.750 0.500
Ca 0.750 0.250 0.500
Tl 0.156 0.156 0.000
Tl 0.844 0.844 0.000
Hg 0.500 0.500 0.000

Output
Energy above the most stable polymorph in this dataset: 0.264 eV per atom
Total energy: -1.910 eV/atom
Total magnetization: 0.00 μB per cell
Formation enthalpy at 0 K: -0.1026 eV per atom
Density of states at the Fermi level: 2.2 states/eV/f.u.

# 7
A plane-wave DFT calculation with PBE was carried out for a relaxed CaTl2Hg6 crystal.

Unit cell a=9.026 b=9.026 c=3.468 alpha=90.00 beta=90.00 gamma=120.00
Fractional coordinates of all 9 atoms:
Ca 0.000 0.000 0.000
Tl 0.333 0.667 0.000
Tl 0.667 0.333 0.000
Hg 0.000 0.333 0.500
Hg 0.000 0.667 0.500
Hg 0.333 0.000 0.500
Hg 0.333 0.333 0.500
Hg 0.667 0.000 0.500
Hg 0.667 0.667 0.500

Output
Energy above the most stable polymorph in this dataset: 0.008 eV per atom
Total energy: -1.102 eV/atom
Total magnetization: 0.00 μB per cell
Formation enthalpy at 0 K: -0.1529 eV per atom
Density of states at the Fermi level: 2.9 states/eV/f.u.

# 8
A plane-wave DFT calculation with PBE was carried out for a relaxed Ca8Tl2Hg crystal.

Unit cell a=9.893 b=9.893 c=7.560 alpha=109.14 beta=109.14 gamma=31.85
Fractional coordinates of all 11 atoms:
Ca 0.026 0.026 0.286
Ca 0.201 0.201 0.799
Ca 0.335 0.335 0.544
Ca 0.403 0.403 0.053
Ca 0.597 0.597 0.947
Ca 0.665 0.665 0.456
Ca 0.799 0.799 0.201
Ca 0.974 0.974 0.714
Tl 0.180 0.180 0.199
Tl 0.820 0.820 0.801
Hg 0.500 0.500 0.500

Output
Energy above the most stable polymorph in this dataset: 0.000 eV per atom
Total energy: -2.228 eV/atom
Total magnetization: 0.00 μB per cell
Formation enthalpy at 0 K: -0.3145 eV per atom
Density of states at the Fermi level: 5.7 states/eV/f.u.

# 9
A plane-wave DFT calculation with PBE was carried out for a relaxed CaTl4Hg7 crystal.

Unit cell a=5.320 b=5.320 c=13.595 alpha=90.00 beta=90.00 gamma=120.00
Fractional coordinates of all 12 atoms:
Ca 0.000 0.000 0.000
Tl 0.333 0.667 0.147
Tl 0.333 0.667 0.410
Tl 0.667 0.333 0.590
Tl 0.667 0.333 0.853
Hg 0.000 0.000 0.251
Hg 0.000 0.000 0.500
Hg 0.000 0.000 0.749
Hg 0.333 0.667 0.668
Hg 0.333 0.667 0.907
Hg 0.667 0.333 0.093
Hg 0.667 0.333 0.332

Output
Energy above the most stable polymorph in this dataset: 0.000 eV per atom
Total energy: -1.236 eV/atom
Total magnetization: 0.00 μB per cell
Formation enthalpy at 0 K: -0.1046 eV per atom
Density of states at the Fermi level: 4.3 states/eV/f.u.

# 10
A plane-wave DFT calculation with PBE was carried out for a relaxed CaTlHg crystal.

Unit cell a=3.710 b=5.084 c=8.846 alpha=90.00 beta=91.01 gamma=90.00
Fractional coordinates of all 6 atoms:
Ca 0.010 0.250 0.227
Ca 0.990 0.750 0.773
Tl 0.393 0.250 0.582
Tl 0.607 0.750 0.418
Hg 0.495 0.750 0.084
Hg 0.505 0.250 0.916

Output
Total energy: -1.917 eV/atom
Total magnetization: 0.00 μB per cell
Formation enthalpy at 0 K: -0.3605 eV per atom
Density of states at the Fermi level: 1.8 states/eV/f.u.

# 11
A plane-wave DFT calculation with PBE was carried out for a relaxed CaTl5Hg2 crystal.

Unit cell a=6.890 b=13.948 c=4.783 alpha=90.00 beta=90.00 gamma=90.00
Fractional coordinates of all 16 atoms:
Ca 0.000 0.000 0.000
Ca 0.500 0.500 0.000
Tl 0.000 0.500 0.000
Tl 0.032 0.253 0.000
Tl 0.226 0.628 0.500
Tl 0.274 0.128 0.500
Tl 0.468 0.753 0.000
Tl 0.500 0.000 0.000
Tl 0.532 0.247 0.000
Tl 0.726 0.872 0.500
Tl 0.774 0.372 0.500
Tl 0.968 0.747 0.000
Hg 0.226 0.883 0.500
Hg 0.274 0.383 0.500
Hg 0.726 0.617 0.500
Hg 0.774 0.117 0.500

Output
Total energy: -1.928 eV/atom
Total magnetization: 0.00 μB per cell
Formation enthalpy at 0 K: -0.1236 eV per atom
Density of states at the Fermi level: 4.8 states/eV/f.u.

# 12
A plane-wave DFT calculation with PBE was carried out for a relaxed Ca4Tl2Hg5 crystal.

Unit cell a=8.036 b=3.780 c=10.304 alpha=90.00 beta=97.82 gamma=90.00
Fractional coordinates of all 11 atoms:
Ca 0.181 0.000 0.392
Ca 0.266 0.000 0.925
Ca 0.734 0.000 0.075
Ca 0.819 0.000 0.608
Tl 0.081 0.500 0.140
Tl 0.919 0.500 0.860
Hg 0.172 0.500 0.647
Hg 0.463 0.500 0.189
Hg 0.500 0.500 0.500
Hg 0.537 0.500 0.811
Hg 0.828 0.500 0.353

Output
Total energy: -1.666 eV/atom
Total magnetization: 0.00 μB per cell
Formation enthalpy at 0 K: -0.3711 eV per atom
Density of states at the Fermi level: 6.1 states/eV/f.u.

# 13
A plane-wave DFT calculation with PBE was carried out for a relaxed CaTlHg crystal.

Unit cell a=3.911 b=5.341 c=8.236 alpha=90.00 beta=103.81 gamma=90.00
Fractional coordinates of all 6 atoms:
Ca 0.111 0.250 0.221
Ca 0.889 0.750 0.779
Tl 0.436 0.250 0.873
Tl 0.564 0.750 0.127
Hg 0.228 0.750 0.461
Hg 0.772 0.250 0.539

Output
Total energy: -1.914 eV/atom
Total magnetization: 0.00 μB per cell
Formation enthalpy at 0 K: -0.3573 eV per atom
Density of states at the Fermi level: 1.1 states/eV/f.u.

# 14
A plane-wave DFT calculation with PBE was carried out for a relaxed CaZrTlHg crystal.

Unit cell a=5.204 b=5.204 c=5.204 alpha=60.00 beta=60.00 gamma=60.00
Fractional coordinates of all 4 atoms:
Ca 0.000 0.000 0.000
Zr 0.500 0.500 0.500
Tl 0.750 0.750 0.750
Hg 0.250 0.250 0.250

Output
Total energy: -3.445 eV/atom
Total magnetization: 0.82 μB per cell
Formation enthalpy at 0 K: -0.1410 eV per atom
Density of states at the Fermi level: 2.9 states/eV/f.u.

# 15
A plane-wave DFT calculation with PBE was carried out for a relaxed CaTmHg4 crystal.

Unit cell a=4.937 b=4.937 c=7.085 alpha=90.04 beta=90.04 gamma=120.23
Fractional coordinates of all 6 atoms:
Ca 0.000 0.000 0.000
Tm 0.000 0.000 0.500
Hg 0.333 0.667 0.268
Hg 0.333 0.667 0.732
Hg 0.667 0.333 0.268
Hg 0.667 0.333 0.732

Output
Energy above the most stable polymorph in this dataset: 0.000 eV per atom
Total energy: -1.673 eV/atom
Total magnetization: 0.00 μB per cell
Formation enthalpy at 0 K: -0.3929 eV per atom
Density of states at the Fermi level: 2.9 states/eV/f.u.

# 16
A plane-wave DFT calculation with PBE was carried out for a relaxed CaTm2Hg8 crystal.

Unit cell a=8.684 b=8.684 c=8.684 alpha=146.10 beta=130.98 gamma=60.94
Fractional coordinates of all 11 atoms:
Ca 0.000 0.000 0.000
Tm 0.312 0.312 0.000
Tm 0.688 0.688 0.000
Hg 0.128 0.847 0.281
Hg 0.158 0.658 0.500
Hg 0.294 0.500 0.794
Hg 0.434 0.153 0.281
Hg 0.566 0.847 0.719
Hg 0.706 0.500 0.206
Hg 0.842 0.342 0.500
Hg 0.872 0.153 0.719

Output
Total energy: -1.506 eV/atom
Total magnetization: 0.00 μB per cell
Formation enthalpy at 0 K: -0.2914 eV per atom
Density of states at the Fermi level: 5.1 states/eV/f.u.

# 17
A plane-wave DFT calculation with PBE was carried out for a relaxed Ca2TmHg4 crystal.

Unit cell a=9.227 b=9.227 c=9.227 alpha=32.48 beta=32.48 gamma=32.48
Fractional coordinates of all 7 atoms:
Ca 0.245 0.245 0.245
Ca 0.755 0.755 0.755
Tm 0.000 0.000 0.000
Hg 0.124 0.124 0.124
Hg 0.369 0.369 0.369
Hg 0.631 0.631 0.631
Hg 0.876 0.876 0.876

Output
Total energy: -1.765 eV/atom
Total magnetization: 0.00 μB per cell
Formation enthalpy at 0 K: -0.3816 eV per atom
Density of states at the Fermi level: 4.2 states/eV/f.u.

# 18
A plane-wave DFT calculation with PBE was carried out for a relaxed Ca2TmHg3 crystal.

Unit cell a=3.760 b=3.760 c=11.164 alpha=90.00 beta=90.00 gamma=90.00
Fractional coordinates of all 6 atoms:
Ca 0.000 0.000 0.169
Ca 0.000 0.000 0.831
Tm 0.000 0.000 0.500
Hg 0.500 0.500 0.000
Hg 0.500 0.500 0.345
Hg 0.500 0.500 0.655

Output
Total energy: -2.096 eV/atom
Total magnetization: 0.00 μB per cell
Formation enthalpy at 0 K: -0.5324 eV per atom
Density of states at the Fermi level: 3.2 states/eV/f.u.

# 19
A plane-wave DFT calculation with PBE was carried out for a relaxed CaTm2Hg crystal.

Unit cell a=4.883 b=4.883 c=4.661 alpha=90.00 beta=90.00 gamma=90.00
Fractional coordinates of all 4 atoms:
Ca 0.000 0.000 0.000
Tm 0.000 0.500 0.500
Tm 0.500 0.000 0.500
Hg 0.500 0.500 0.000

Output
Energy above the most stable polymorph in this dataset: 0.039 eV per atom
Total energy: -2.913 eV/atom
Total magnetization: 0.00 μB per cell
Formation enthalpy at 0 K: -0.1013 eV per atom
Density of states at the Fermi level: 2.9 states/eV/f.u.

# 20
A plane-wave DFT calculation with PBE was carried out for a relaxed Ca2TmHg9 crystal.

Unit cell a=4.635 b=4.635 c=14.023 alpha=90.00 beta=90.00 gamma=90.00
Fractional coordinates of all 12 atoms:
Ca 0.000 0.000 0.167
Ca 0.000 0.000 0.833
Tm 0.000 0.000 0.500
Hg 0.000 0.500 0.000
Hg 0.000 0.500 0.338
Hg 0.000 0.500 0.662
Hg 0.500 0.000 0.000
Hg 0.500 0.000 0.338
Hg 0.500 0.000 0.662
Hg 0.500 0.500 0.168
Hg 0.500 0.500 0.500
Hg 0.500 0.500 0.832

Output
Total energy: -1.273 eV/atom
Total magnetization: 0.00 μB per cell
Formation enthalpy at 0 K: -0.3406 eV per atom
Density of states at the Fermi level: 6.3 states/eV/f.u.

# 21
A plane-wave DFT calculation with PBE was carried out for a relaxed CaTmHg4 crystal.

Unit cell a=5.659 b=5.659 c=7.892 alpha=110.38 beta=110.38 gamma=39.84
Fractional coordinates of all 6 atoms:
Ca 0.000 0.000 0.000
Tm 0.000 0.000 0.500
Hg 0.332 0.332 0.175
Hg 0.333 0.333 0.659
Hg 0.667 0.667 0.341
Hg 0.668 0.668 0.825

Output
Energy above the most stable polymorph in this dataset: 0.007 eV per atom
Total energy: -1.666 eV/atom
Total magnetization: 0.00 μB per cell
Formation enthalpy at 0 K: -0.3859 eV per atom
Density of states at the Fermi level: 2.7 states/eV/f.u.

# 22
A plane-wave DFT calculation with PBE was carried out for a relaxed Ca3TmHg2 crystal.

Unit cell a=5.139 b=9.774 c=7.074 alpha=90.00 beta=90.00 gamma=90.00
Fractional coordinates of all 12 atoms:
Ca 0.000 0.062 0.000
Ca 0.000 0.321 0.370
Ca 0.000 0.679 0.870
Ca 0.000 0.938 0.500
Ca 0.500 0.185 0.694
Ca 0.500 0.815 0.194
Tm 0.500 0.443 0.059
Tm 0.500 0.557 0.559
Hg 0.000 0.368 0.816
Hg 0.000 0.632 0.316
Hg 0.500 0.146 0.250
Hg 0.500 0.854 0.750

Output
Total energy: -2.195 eV/atom
Total magnetization: 0.00 μB per cell
Formation enthalpy at 0 K: -0.3484 eV per atom
Density of states at the Fermi level: 6.1 states/eV/f.u.

# 23
A plane-wave DFT calculation with PBE was carried out for a relaxed CaTm4Hg5 crystal.

Unit cell a=3.681 b=3.681 c=18.606 alpha=90.00 beta=90.00 gamma=90.00
Fractional coordinates of all 10 atoms:
Ca 0.000 0.000 0.000
Tm 0.000 0.000 0.204
Tm 0.000 0.000 0.401
Tm 0.000 0.000 0.599
Tm 0.000 0.000 0.796
Hg 0.500 0.500 0.109
Hg 0.500 0.500 0.303
Hg 0.500 0.500 0.500
Hg 0.500 0.500 0.697
Hg 0.500 0.500 0.891

Output
Total energy: -2.640 eV/atom
Total magnetization: 0.00 μB per cell
Formation enthalpy at 0 K: -0.5001 eV per atom
Density of states at the Fermi level: 5.6 states/eV/f.u.

# 24
A plane-wave DFT calculation with PBE was carried out for a relaxed CaTmHg crystal.

Unit cell a=5.169 b=5.169 c=3.827 alpha=90.00 beta=90.00 gamma=120.00
Fractional coordinates of all 3 atoms:
Ca 0.000 0.000 0.000
Tm 0.333 0.667 0.522
Hg 0.667 0.333 0.372

Output
Energy above the most stable polymorph in this dataset: 0.116 eV per atom
Total energy: -2.433 eV/atom
Total magnetization: 0.00 μB per cell
Formation enthalpy at 0 K: -0.1751 eV per atom
Density of states at the Fermi level: 2.8 states/eV/f.u.